{"formula": "PmNbTcGe2", "functional": "PBE-GGA", "state": "optimized geometry", "lattice": [[-1.285, -3.706, -1.119], [3.691, -0.817, -1.533], [0.469, 0.124, 6.489]], "species": ["Pm", "Nb", "Tc", "Ge", "Ge"], "fractional_positions": [[0.000, 0.000, 0.000], [0.750, 0.250, 0.500], [0.250, 0.750, 0.500], [0.610, 0.610, 0.220], [0.390, 0.390, 0.780]], "formation_enthalpy_0k_mev_per_atom": -531, "n_ef_per_ev_cell": 2.662}